Entry 1:
## Zr3Zn5 (PBEsol)

Data for Zr3Zn5 after structural relaxation.

The structure in POSCAR format:
```
Zr3Zn5
1.0
-0.9464 -2.0757 -3.8114
3.1673 -4.3894 1.6041
-5.2372 -1.0098 1.8504
Zn Zr
5 3
Direct
0.0000 0.0000 0.0000 Zn
0.0000 0.5000 0.0000 Zn
0.0000 0.0000 0.5000 Zn
0.5000 0.7350 0.7350 Zn
0.5000 0.2650 0.2650 Zn
0.0000 0.5000 0.5000 Zr
0.5000 0.7714 0.2286 Zr
0.5000 0.2286 0.7714 Zr
```

Energy relative to the elements = -22.62 kJ per mole of atoms
Calculated total energy = -4.63 eV/atom
Offset from the most stable computed form = 0.24 eV per formula unit
Total magnetic moment = 0.000 Bohr magnetons per cell
Volume = 136 Å³/cell

Entry 2:
## Zr4Zn (PBEsol)

Data for Zr4Zn after structural relaxation.

The structure in POSCAR format:
```
Zr4Zn
1.0
-0.7040 4.1176 -0.8879
-2.8643 2.5255 3.7124
3.7524 3.2663 1.9013
Zn Zr
1 4
Direct
0.0000 0.0000 0.0000 Zn
0.6152 0.1903 0.5792 Zr
0.8056 0.5792 0.8097 Zr
0.3848 0.8097 0.4208 Zr
0.1944 0.4208 0.1903 Zr
```

Energy relative to the elements = -6.25 kJ per mole of atoms
Calculated total energy = -7.65 eV/atom
Total magnetic moment = 0.001 Bohr magnetons per cell
Volume = 102 Å³/cell

Entry 3:
## Zr3Zn2 (PBEsol)

Data for Zr3Zn2 after structural relaxation.

The structure in POSCAR format:
```
Zr3Zn2
1.0
5.6211 0.0045 0.0000
-2.7745 4.8887 0.0000
-1.4233 -2.4466 6.8744
Zn Zr
4 6
Direct
0.5507 0.1099 0.9018 Zn
0.2082 0.6490 0.0982 Zn
0.8990 0.9582 0.5982 Zn
0.3599 0.3007 0.4018 Zn
0.4270 0.5375 0.8003 Zr
0.7373 0.6268 0.1997 Zr
0.8768 0.4873 0.6997 Zr
0.7875 0.1770 0.3003 Zr
0.0769 0.0769 0.0000 Zr
0.3269 0.8269 0.5000 Zr
```

Energy relative to the elements = -13.02 kJ per mole of atoms
Calculated total energy = -6.22 eV/atom
Offset from the most stable computed form = 0.34 eV per formula unit
Total magnetic moment = 0.000 Bohr magnetons per cell
Volume = 189 Å³/cell

Entry 4:
## Zr17Zn12 (PBEsol)

Data for Zr17Zn12 after structural relaxation.

The structure in POSCAR format:
```
Zr17Zn12
1.0
-3.1560 8.0376 1.8835
-6.2472 -4.7361 -4.0807
2.3618 -4.0657 7.4836
Zn Zr
12 17
Direct
0.1764 0.3618 0.3618 Zn
0.8236 0.1855 0.1855 Zn
0.0000 0.8145 0.6382 Zn
0.0000 0.6382 0.8145 Zn
0.3618 0.1764 0.3618 Zn
0.1855 0.8236 0.1855 Zn
0.6382 0.0000 0.8145 Zn
0.8145 0.0000 0.6382 Zn
0.3618 0.3618 0.1764 Zn
0.1855 0.1855 0.8236 Zn
0.8145 0.6382 0.0000 Zn
0.6382 0.8145 0.0000 Zn
0.7158 0.4040 0.4040 Zr
0.2842 0.6882 0.6882 Zr
0.0000 0.3118 0.5960 Zr
0.0000 0.5960 0.3118 Zr
0.4040 0.7158 0.4040 Zr
0.6882 0.2842 0.6882 Zr
0.5960 0.0000 0.3118 Zr
0.3118 0.0000 0.5960 Zr
0.4040 0.4040 0.7158 Zr
0.6882 0.6882 0.2842 Zr
0.3118 0.5960 0.0000 Zr
0.5960 0.3118 0.0000 Zr
0.6547 0.6547 0.6547 Zr
0.3453 0.0000 0.0000 Zr
0.0000 0.0000 0.3453 Zr
0.0000 0.3453 0.0000 Zr
0.0000 0.0000 0.0000 Zr
```

Energy relative to the elements = -16.32 kJ per mole of atoms
Calculated total energy = -6.15 eV/atom
Total magnetic moment = 0.005 Bohr magnetons per cell
Volume = 531 Å³/cell